[1]
Density functional theory data (PBE-GGA) for a relaxed structure of KTl2Hg5.

```
KTl2Hg5
1.0
8.462 0.000 0.000
0.000 8.462 0.000
0.000 0.000 6.733
K Tl Hg
2 4 10
Direct
0.000 0.000 0.000
0.500 0.500 0.500
0.000 0.500 0.000
0.000 0.500 0.500
0.500 0.000 0.000
0.500 0.000 0.500
0.000 0.000 0.500
0.250 0.250 0.250
0.250 0.250 0.750
0.250 0.750 0.250
0.250 0.750 0.750
0.500 0.500 0.000
0.750 0.250 0.250
0.750 0.250 0.750
0.750 0.750 0.250
0.750 0.750 0.750
```

Output
Magnetic moment in μB/f.u.: 0.00
Formation enthalpy at 0 K in eV per atom: -0.0937
SG: I4/mmm (139)
Energy in eV/atom: -1.011

***

[2]
Density functional theory data (PBE-GGA) for a relaxed structure of TaZnBP2.

```
TaZnBP2
1.0
4.339 0.000 0.000
0.000 4.339 0.000
0.000 0.000 3.773
Ta Zn B P
1 1 1 2
Direct
0.000 0.000 0.000
0.500 0.500 0.000
0.500 0.500 0.500
0.000 0.500 0.500
0.500 0.000 0.500
```

Output
Magnetic moment in μB/f.u.: 0.00
Formation enthalpy at 0 K in eV per atom: 0.7769
SG: P4/mmm (123)
Energy in eV/atom: -5.348

***

[3]
Density functional theory data (PBE-GGA) for a relaxed structure of Pr2Nd2Sm4Mg.

```
Pr2Nd2Sm4Mg
1.0
6.570 0.000 0.000
0.501 6.555 0.000
2.050 1.907 7.159
Pr Nd Sm Mg
2 2 4 1
Direct
0.207 0.370 0.113
0.793 0.630 0.887
0.371 0.815 0.220
0.629 0.185 0.780
0.175 0.327 0.594
0.331 0.794 0.692
0.669 0.206 0.308
0.825 0.673 0.406
0.000 0.000 0.000
```

Output
Magnetic moment in μB/f.u.: 0.00
Formation enthalpy at 0 K in eV per atom: 0.0842
SG: P-1 (2)
Energy in eV/atom: -4.312

***

- Which value of formation enthalpy at 0 K does entry 3 give?
  0.0842 eV per atom

***

- The lowest formation enthalpy at 0 K belongs to which entry?
  KTl2Hg5